[1]
# PrTiGe3

A relaxed structure of PrTiGe3 (PBEsol, Alexandria via LeMat-Bulk).

Energy relative to the elements, eV per atom: -0.722
Magnetization, μB/cell: 0.00

Lattice parameters (Å, degrees): 6.232 6.232 5.798 90.00 90.00 120.00
Atoms (fractional coordinates):
Pr1 0.333 0.667 0.250
Pr2 0.667 0.333 0.750
Ti1 0.000 0.000 0.000
Ti2 0.000 0.000 0.500
Ge1 0.197 0.394 0.750
Ge2 0.197 0.803 0.750
Ge3 0.394 0.197 0.250
Ge4 0.606 0.803 0.750
Ge5 0.803 0.197 0.250
Ge6 0.803 0.606 0.250

=====

[2]
# PrVGe3

A relaxed structure of PrVGe3 (PBEsol, Alexandria via LeMat-Bulk).

Energy relative to the elements, eV per atom: -0.576
Magnetization, μB/cell: 0.00

Lattice parameters (Å, degrees): 6.194 6.194 5.549 90.00 90.00 120.00
Atoms (fractional coordinates):
Pr1 0.333 0.667 0.250
Pr2 0.667 0.333 0.750
V1 0.000 0.000 0.000
V2 0.000 0.000 0.500
Ge1 0.194 0.389 0.750
Ge2 0.194 0.806 0.750
Ge3 0.389 0.194 0.250
Ge4 0.611 0.806 0.750
Ge5 0.806 0.194 0.250
Ge6 0.806 0.611 0.250

=====

[3]
# PrZnGe

A relaxed structure of PrZnGe (PBEsol, Alexandria via LeMat-Bulk).

Energy relative to the elements, eV per atom: -0.715
Magnetization, μB/cell: 0.00

Lattice parameters (Å, degrees): 4.197 4.197 8.436 90.00 90.00 120.00
Atoms (fractional coordinates):
Pr1 0.000 0.000 0.000
Pr2 0.000 0.000 0.500
Zn1 0.333 0.667 0.250
Zn2 0.667 0.333 0.750
Ge1 0.333 0.667 0.750
Ge2 0.667 0.333 0.250

=====

[4]
# Pr2Zn6Ge3

A relaxed structure of Pr2Zn6Ge3 (PBEsol, Alexandria via LeMat-Bulk).

Energy relative to the elements, eV per atom: -0.455
Magnetization, μB/cell: 0.00

Lattice parameters (Å, degrees): 7.549 7.549 4.057 90.00 90.00 120.00
Atoms (fractional coordinates):
Pr1 0.333 0.667 0.000
Pr2 0.667 0.333 0.000
Zn1 0.000 0.287 0.500
Zn2 0.000 0.811 0.000
Zn3 0.189 0.189 0.000
Zn4 0.287 0.000 0.500
Zn5 0.713 0.713 0.500
Zn6 0.811 0.000 0.000
Ge1 0.000 0.618 0.500
Ge2 0.382 0.382 0.500
Ge3 0.618 0.000 0.500

=====

[5]
# Ge2Pt3

A relaxed structure of Ge2Pt3 (PBEsol, Alexandria via LeMat-Bulk).

Energy relative to the elements, eV per atom: -0.446
Magnetization, μB/cell: 0.00

Lattice parameters (Å, degrees): 6.314 6.314 7.576 90.00 90.00 148.07
Atoms (fractional coordinates):
Ge1 0.000 0.000 0.000
Ge2 0.000 0.000 0.500
Ge3 0.256 0.744 0.750
Ge4 0.744 0.256 0.250
Pt1 0.340 0.660 0.058
Pt2 0.340 0.660 0.442
Pt3 0.466 0.534 0.750
Pt4 0.534 0.466 0.250
Pt5 0.660 0.340 0.558
Pt6 0.660 0.340 0.942

=====

[6]
# GePt

A relaxed structure of GePt (PBEsol, Alexandria via LeMat-Bulk).

Energy relative to the elements, eV per atom: -0.503
Magnetization, μB/cell: 0.00

Lattice parameters (Å, degrees): 5.738 3.708 6.071 90.00 90.00 90.00
Atoms (fractional coordinates):
Ge1 0.185 0.250 0.089
Ge2 0.315 0.750 0.589
Ge3 0.685 0.250 0.411
Ge4 0.815 0.750 0.911
Pt1 0.000 0.250 0.691
Pt2 0.000 0.750 0.309
Pt3 0.500 0.250 0.809
Pt4 0.500 0.750 0.191

=====

[7]
# Ge2Pt3

A relaxed structure of Ge2Pt3 (PBEsol, Alexandria via LeMat-Bulk).

Energy relative to the elements, eV per atom: -0.454
Magnetization, μB/cell: 0.00

Lattice parameters (Å, degrees): 12.208 7.559 6.875 90.00 90.00 90.00
Atoms (fractional coordinates):
Ge1 0.006 0.250 0.128
Ge2 0.010 0.250 0.621
Ge3 0.245 0.028 0.874
Ge4 0.245 0.472 0.874
Ge5 0.255 0.528 0.374
Ge6 0.255 0.972 0.374
Ge7 0.490 0.750 0.121
Ge8 0.494 0.750 0.628
Ge9 0.506 0.250 0.372
Ge10 0.510 0.250 0.879
Ge11 0.745 0.028 0.626
Ge12 0.745 0.472 0.626
Ge13 0.755 0.528 0.126
Ge14 0.755 0.972 0.126
Ge15 0.990 0.750 0.379
Ge16 0.994 0.750 0.872
Pt1 0.088 0.559 0.128
Pt2 0.088 0.941 0.128
Pt3 0.091 0.558 0.623
Pt4 0.091 0.942 0.623
Pt5 0.215 0.250 0.156
Pt6 0.218 0.250 0.589
Pt7 0.282 0.750 0.089
Pt8 0.285 0.750 0.656
Pt9 0.409 0.058 0.123
Pt10 0.409 0.442 0.123
Pt11 0.412 0.059 0.628
Pt12 0.412 0.441 0.628
Pt13 0.588 0.559 0.372
Pt14 0.588 0.941 0.372
Pt15 0.591 0.558 0.877
Pt16 0.591 0.942 0.877
Pt17 0.715 0.250 0.344
Pt18 0.718 0.250 0.911
Pt19 0.782 0.750 0.411
Pt20 0.785 0.750 0.844
Pt21 0.909 0.058 0.377
Pt22 0.909 0.442 0.377
Pt23 0.912 0.059 0.872
Pt24 0.912 0.441 0.872

=====

[8]
# GePt2

A relaxed structure of GePt2 (PBEsol, Alexandria via LeMat-Bulk).

Energy relative to the elements, eV per atom: -0.371
Magnetization, μB/cell: 0.00

Lattice parameters (Å, degrees): 6.780 6.780 3.436 90.00 90.00 120.00
Atoms (fractional coordinates):
Ge1 0.000 0.000 0.000
Ge2 0.333 0.667 0.500
Ge3 0.667 0.333 0.500
Pt1 0.000 0.375 0.000
Pt2 0.000 0.713 0.500
Pt3 0.287 0.287 0.500
Pt4 0.375 0.000 0.000
Pt5 0.625 0.625 0.000
Pt6 0.713 0.000 0.500